A relaxed KTeMoAuS2 crystal. Source: the Open Quantum Materials Database, functional PBE.

Uncorrected energy   -4.79 eV per atom
Symmetry   Cmcm, No. 63

Cell and atoms, written as extended XYZ:
```
12
Lattice="-0.150 5.602 -5.977 -3.249 -6.070 4.441 -3.954 6.964 6.625" Properties=species:S:1:pos:R:3 pbc="T T T"
S -5.211 7.719 4.576
S -3.479 4.668 1.674
S -2.142 -1.224 0.513
S -3.874 1.827 3.415
Mo 0.000 0.000 0.000
Mo -1.977 3.482 3.313
K -1.858 4.632 -1.901
K -5.495 1.863 6.990
Au -4.477 5.697 3.569
Au -2.876 0.798 1.521
Te -3.364 9.886 -0.170
Te -3.988 -3.390 5.259
```

=====

A relaxed KTe3MoAu crystal. Source: the Open Quantum Materials Database, functional PBE.

Uncorrected energy   -4.32 eV per atom
Symmetry   Cmcm, No. 63

Cell and atoms, written as extended XYZ:
```
12
Lattice="7.977 -2.069 0.000 7.977 2.069 0.000 0.000 0.000 10.914" Properties=species:S:1:pos:R:3 pbc="T T T"
Mo 0.000 0.000 0.000
Mo 0.000 0.000 5.457
K 3.733 0.000 2.729
K 12.221 0.000 8.186
Te 6.055 0.000 5.751
Te 9.899 0.000 5.163
Te 6.055 0.000 10.620
Te 1.116 0.000 8.186
Te 14.838 0.000 2.729
Te 9.899 0.000 0.294
Au 8.767 0.000 2.729
Au 7.187 0.000 8.186
```

=====

A relaxed KTe4MoAu3 crystal. Source: the Open Quantum Materials Database, functional PBE.

Uncorrected energy   -3.91 eV per atom
Symmetry   P-43m, No. 215

Cell and atoms, written as extended XYZ:
```
9
Lattice="6.779 0.000 0.000 0.000 6.779 0.000 0.000 0.000 6.779" Properties=species:S:1:pos:R:3 pbc="T T T"
Te 1.886 4.893 4.893
Te 4.893 4.893 1.886
Te 4.893 1.886 4.893
Te 1.886 1.886 1.886
Au 0.000 3.390 3.390
Au 3.390 0.000 3.390
Au 3.390 3.390 0.000
K 0.000 0.000 0.000
Mo 3.390 3.390 3.390
```

=====

A relaxed K4PAu2N crystal. Source: the Open Quantum Materials Database, functional PBE.

Uncorrected energy   -3.26 eV per atom
Symmetry   Amm2, No. 38

Cell and atoms, written as extended XYZ:
```
8
Lattice="-1.792 6.470 1.144 -5.492 -1.674 0.861 3.042 -0.032 4.945" Properties=species:S:1:pos:R:3 pbc="T T T"
Au -1.570 0.641 3.024
Au -2.557 4.203 3.654
K 1.822 -0.138 3.637
K -5.257 1.602 2.975
K 0.312 2.673 5.640
K -3.764 -1.213 0.964
P -2.636 2.024 4.695
N -0.632 -0.440 1.498
```

=====

A relaxed KRbAu4N2 crystal. Source: the Open Quantum Materials Database, functional PBE.

Uncorrected energy   -3.90 eV per atom
Symmetry   I-4m2, No. 119

Cell and atoms, written as extended XYZ:
```
8
Lattice="-3.221 3.221 5.009 3.221 -3.221 5.009 3.221 3.221 -5.009" Properties=species:S:1:pos:R:3 pbc="T T T"
N 0.000 3.221 2.505
N 0.000 0.000 5.009
Au 1.619 0.003 6.251
Au 1.602 3.218 1.242
Au -0.003 1.619 3.768
Au 3.225 1.602 -1.242
Rb 3.221 0.000 2.505
K 0.000 0.000 0.000
```

=====

A relaxed K4SbAu2N crystal. Source: the Open Quantum Materials Database, functional PBE.

Uncorrected energy   -3.12 eV per atom
Symmetry   Amm2, No. 38

Cell and atoms, written as extended XYZ:
```
8
Lattice="-1.044 5.227 -4.891 -5.857 -1.571 -0.428 1.161 4.199 4.240" Properties=species:S:1:pos:R:3 pbc="T T T"
Sb -3.852 4.477 0.257
K 0.473 2.953 3.055
K -0.175 4.041 -0.994
K -2.522 2.112 -2.555
K -4.184 -0.876 -0.043
Au -2.963 5.339 -2.144
Au -2.352 2.279 0.719
N -1.124 0.629 0.912
```

=====

A relaxed KNaAu3 crystal. Source: the Open Quantum Materials Database, functional PBE.

Uncorrected energy   -2.76 eV per atom
Symmetry   Imm2, No. 44

Cell and atoms, written as extended XYZ:
```
5
Lattice="5.255 -0.432 2.950 -1.004 -4.070 4.351 -0.684 -0.197 -6.000" Properties=species:S:1:pos:R:3 pbc="T T T"
Au 3.289 -2.409 2.867
Au 0.272 -2.285 -1.576
Au 1.254 -4.355 2.778
K 0.834 -0.884 1.433
Na 3.451 -3.655 5.927
```

=====

A relaxed KNaAu2O4 crystal. Source: the Open Quantum Materials Database, functional PBE.

Uncorrected energy   -4.31 eV per atom
Symmetry   Amm2, No. 38

Cell and atoms, written as extended XYZ:
```
8
Lattice="-5.878 -0.396 1.310 1.054 -5.203 3.158 1.390 -2.463 5.492" Properties=species:S:1:pos:R:3 pbc="T T T"
K -1.027 -6.196 7.422
O -3.448 -3.251 4.312
O -0.546 -3.055 3.666
O -2.963 -5.023 6.323
O 0.096 -4.817 5.641
Au -1.707 -4.062 5.014
Au 1.215 -3.811 4.300
Na 0.523 -1.639 1.850
```

=====

A relaxed KNaPAu crystal. Source: the Open Quantum Materials Database, functional PBE.

Uncorrected energy   -3.23 eV per atom
Symmetry   P2_1/m, No. 11

Cell and atoms, written as extended XYZ:
```
8
Lattice="5.751 0.000 0.000 0.000 6.076 0.000 -1.542 0.000 5.848" Properties=species:S:1:pos:R:3 pbc="T T T"
Au 2.876 0.000 0.000
Au 2.876 3.038 0.000
Na 3.042 1.519 3.092
Na 1.167 4.557 2.755
P 0.343 1.519 4.235
P 3.866 4.557 1.613
K -0.068 1.519 1.065
K 4.276 4.557 4.783
```

=====

A relaxed KNaP2Au4 crystal. Source: the Open Quantum Materials Database, functional PBE.

Uncorrected energy   -3.59 eV per atom
Symmetry   I-4, No. 82

Cell and atoms, written as extended XYZ:
```
8
Lattice="-1.893 3.214 7.529 -7.701 2.740 1.946 3.822 -6.661 -3.410" Properties=species:S:1:pos:R:3 pbc="T T T"
P -1.434 -0.235 4.428
P -4.797 2.977 4.738
Au -2.876 1.601 4.643
Au -1.344 -1.756 2.647
Au -0.466 -3.816 -0.979
Au -6.859 2.558 5.819
Na -4.338 -0.472 1.637
K 0.000 0.000 0.000
```

=====

A relaxed KNaPAu crystal. Source: the Open Quantum Materials Database, functional PBE.

Uncorrected energy   -3.22 eV per atom
Symmetry   Amm2, No. 38

Cell and atoms, written as extended XYZ:
```
8
Lattice="6.186 0.000 0.000 0.000 4.675 3.551 0.000 -4.675 3.551" Properties=species:S:1:pos:R:3 pbc="T T T"
K 3.093 -3.053 4.589
K 3.093 3.053 4.589
Au 4.683 0.000 3.593
Au 1.503 0.000 3.593
P 0.000 0.000 1.670
P 3.093 0.000 5.393
Na 0.000 -2.992 2.492
Na 0.000 2.992 2.492
```

=====

A relaxed KNaPAu crystal. Source: the Open Quantum Materials Database, functional PBE.

Uncorrected energy   -3.23 eV per atom
Symmetry   Ama2, No. 40

Cell and atoms, written as extended XYZ:
```
8
Lattice="6.198 0.000 0.000 0.000 3.569 4.658 0.000 -3.569 4.658" Properties=species:S:1:pos:R:3 pbc="T T T"
Na 4.648 -1.035 1.680
Na 1.549 1.035 1.680
K 4.648 -1.080 7.682
K 1.549 1.080 7.682
P 1.549 1.852 4.565
P 4.648 -1.852 4.565
Au 3.099 0.000 4.704
Au 0.000 0.000 4.704
```

=====

Which of these has the lowest uncorrected energy?
KTeMoAuS2

=====

Among the records above, which one has the highest uncorrected energy?
KNaAu3